# TcMo2W

A relaxed TcMo2W crystal (PBEsol, Alexandria).

Structure (CIF):
```
data_TcMo2W
_chemical_formula_sum 'Tc1 Mo2 W1'
_space_group_name_H-M_alt 'P 1'
_space_group_IT_number 1
_cell_length_a 5.1723
_cell_length_b 5.1723
_cell_length_c 5.1723
_cell_angle_alpha 145.01
_cell_angle_beta 129.68
_cell_angle_gamma 62.76
loop_
_space_group_symop_operation_xyz
'x,y,z'
loop_
_atom_site_label
_atom_site_fract_x
_atom_site_fract_y
_atom_site_fract_z
_atom_site_occupancy
Tc1 0.0000 0.0000 0.0000 1
Mo1 0.2544 0.7544 0.5000 1
Mo2 0.7456 0.2456 0.5000 1
W1 0.5000 0.5000 0.0000 1
```

Symmetry: Immm
ΔE to the lowest computed polymorph in eV per atom: 0.000
Fermi-level density of states in states/eV/f.u.: 2.99
Energy of formation from the pure elements in kJ/mol of atoms: 3.39